1.
Density functional theory data (SCAN) for a PBEsol-optimized structure of TePt.

Values from the calculation:
Energy relative to the elements, uncorrected: -0.16 eV per atom
N(E_F): 1.26 states/eV per cell

Unit cell a=3.5888 b=3.4776 c=7.3050 alpha=90.00 beta=90.00 gamma=90.00
Space group Pmma (No. 51)
One atom of each set of equivalent atoms:
Te 0.2500 0.0000 0.2210 x2
Pt 0.2500 0.5000 0.6423 x2



2.
Density functional theory data (SCAN) for a PBEsol-optimized structure of MgTlCd2Cu.

Values from the calculation:
Uncorrected energy: -30.56 eV per atom
N(E_F): 1.83 states/eV per cell

Unit cell a=4.9299 b=4.9299 c=4.9107 alpha=90.00 beta=90.00 gamma=90.00
Space group P4/mmm (No. 123)
One atom of each set of equivalent atoms:
Mg 0.0000 0.0000 0.0000 x1
Tl 0.5000 0.5000 0.0000 x1
Cd 0.0000 0.5000 0.5000 x2
Cu 0.0000 0.0000 0.5000 x1